(w)
5
Lattice="5.157 0.000 0.000 0.000 5.157 0.000 0.000 0.000 5.157" Properties=species:S:1:pos:R:3 comment="Y3SbS PBE optimized geometry" sg="Pm-3m (221)" magnetic_moment_mub_per_atom=0.000 pbc="T T T"
Y 0.000 0.000 2.579
Y 0.000 2.579 0.000
Y 2.579 0.000 0.000
Sb 2.579 2.579 2.579
S 0.000 0.000 0.000

(x)
20
Lattice="-2.989 -2.475 1.345 -2.731 -1.132 -8.153 8.774 -11.336 -1.365" Properties=species:S:1:pos:R:3 comment="Y3SbS PBE optimized geometry" sg="Pnma (62)" magnetic_moment_mub_per_atom=0.000 pbc="T T T"
Sb -0.398 -5.372 -7.635
Sb 3.439 -11.886 -4.825
Sb 3.452 -9.572 -0.538
Sb -0.385 -3.058 -3.348
S 2.308 -7.648 -5.810
S 7.112 -11.525 -2.268
S 0.745 -7.295 -2.363
S -4.059 -3.419 -5.905
Y 5.298 -9.838 -3.195
Y 0.175 -1.922 -0.012
Y -3.054 -2.381 -1.762
Y 6.107 -12.562 -6.411
Y -0.253 -8.331 -6.487
Y 1.832 -9.339 -3.709
Y -0.299 -5.290 -0.992
Y 3.307 -6.613 -1.686
Y 2.879 -13.022 -8.161
Y 1.221 -5.604 -4.464
Y -2.245 -5.106 -4.978
Y 3.352 -9.654 -7.181

(w) is the least stable structure shown above.